<1>
Below is a geometry-optimized Ni4Pt7 structure, with properties calculated at the PBE level.

a = 4.6656 Å, b = 4.7437 Å, c = 7.1858 Å
α = 96.27°, β = 90.28°, γ = 99.02°
Space group P-1 (No. 2)
Symmetry-distinct sites (fractional):
Ni  0.0919  0.0439  0.1819 [2 per cell]
Ni  0.1820  0.5934  0.3642 [2 per cell]
Pt  0.0000  0.5000  0.0000 [1 per cell]
Pt  0.2649  0.1412  0.5403 [2 per cell]
Pt  0.3558  0.6795  0.7223 [2 per cell]
Pt  0.4529  0.2212  0.9061 [2 per cell]

Computed properties:
- Spin magnetization: 0.49 μB per atom
- D(E_F): 18.11 states/eV/cell



<2>
Below is a geometry-optimized Ni4Pt7 structure, with properties calculated at the PBE level.

a = 8.2950 Å, b = 8.2950 Å, c = 2.7079 Å
α = 90.00°, β = 90.00°, γ = 120.00°
Space group P-6m2 (No. 187)
Symmetry-distinct sites (fractional):
Ni  0.0000  0.0000  0.0000 [1 per cell]
Ni  0.0110  0.5055  0.5000 [3 per cell]
Pt  0.1892  0.3784  0.0000 [3 per cell]
Pt  0.3086  0.1543  0.5000 [3 per cell]
Pt  0.6667  0.3333  0.0000 [1 per cell]

Computed properties:
- Spin magnetization: 0.54 μB per atom
- D(E_F): 17.13 states/eV/cell



Question: of the structures shown, which is the least stable? Reply: <2>.